DFT (PBE with a Hubbard U) results for crystalline Na3Li2CoF9 at its relaxed geometry.

Total energy in eV/atom: -4.385
Magnetization in μB per formula unit: 1.0
Symmetry: P-3m1, No. 164
Mass density in Mg/m³: 2.92

Unit cell a=5.493 b=5.493 c=6.814 alpha=90.00 beta=90.00 gamma=120.00
Element x y z (fractional)
Na  0.000  0.000  0.000
Na  0.333  0.667  0.748
Na  0.667  0.333  0.252
Li  0.333  0.667  0.147
Li  0.667  0.333  0.853
Co  0.000  0.000  0.500
F  0.000  0.500  0.000
F  0.155  0.310  0.346
F  0.155  0.845  0.346
F  0.310  0.155  0.654
F  0.500  0.000  0.000
F  0.500  0.500  0.000
F  0.690  0.845  0.346
F  0.845  0.155  0.654
F  0.845  0.690  0.654